First-principles (PBE+U) data for NaFeB2F after structural relaxation, as listed in the Alexandria database.

Output
Space group = No. 123
VASP energy = -2.2616 eV per atom
V = 102 Å³ per cell

abc: 4.481 4.481 5.089
angles: 90.00 90.00 90.00
Sites, in units of the cell vectors:
Na 0.000 0.000 0.000
Fe 0.000 0.000 0.500
B 0.000 0.500 0.000
B 0.500 0.000 0.000
F 0.500 0.500 0.500